# 1
First-principles (PBE) data for a geometry-optimized GdErNi structure, as listed in Alexandria via LeMat-Bulk.

Computed properties:
The energy above the most stable polymorph in this dataset is 0 meV per atom. As for the formation energy: -0.24 eV/atom.

a = 3.400 Å, b = 3.400 Å, c = 6.660 Å
α = 104.79°, β = 104.79°, γ = 90.00°
Last column: magnetic moment on the atom in μB.
Sites, in units of the cell vectors:
Ni 0.662 0.662 0.323  -0.02
Gd 0.300 0.300 0.601  -7.08
Er 0.038 0.038 0.076  -0.01


# 2
First-principles (PBE) data for a geometry-optimized Th2Pt2Rh3 structure, as listed in Alexandria via LeMat-Bulk.

Computed properties:
As for the formation energy: -0.73 eV/atom.

a = 4.159 Å, b = 5.156 Å, c = 8.915 Å
α = 122.52°, β = 90.00°, γ = 113.79°
Sites, in units of the cell vectors:
Th 0.433 0.865 0.220
Th 0.567 0.135 0.780
Pt 0.242 0.485 0.393
Pt 0.758 0.515 0.607
Rh 0.000 0.000 0.500
Rh 0.681 0.362 0.144
Rh 0.319 0.638 0.856


# 3
First-principles (PBE) data for a geometry-optimized Na2ZrAlS4 structure, as listed in Alexandria via LeMat-Bulk.

Computed properties:
The value obtained for the uncorrected formation energy is -1284 meV per atom.

a = 3.623 Å, b = 6.573 Å, c = 6.920 Å
α = 107.26°, β = 90.00°, γ = 90.00°
Sites, in units of the cell vectors:
Na 0.500 0.000 0.500
Na 0.000 0.500 0.500
Zr 0.500 0.500 0.000
Al 0.000 0.000 0.000
S 0.500 0.223 0.203
S 0.500 0.777 0.797
S 0.000 0.247 0.783
S 0.000 0.753 0.217


# 4
First-principles (PBE) data for a geometry-optimized Tb6CePm3Er2 structure, as listed in Alexandria via LeMat-Bulk.

Computed properties:
As for the formation energy: 0.03 eV/atom.

a = 6.189 Å, b = 6.189 Å, c = 11.843 Å
α = 95.00°, β = 95.00°, γ = 119.99°
Last column: magnetic moment on the atom in μB.
Sites, in units of the cell vectors:
Tb 0.918 0.586 0.753  0.02
Tb 0.751 0.751 0.247  0.02
Tb 0.082 0.414 0.247  0.02
Tb 0.586 0.918 0.753  0.02
Tb 0.249 0.249 0.753  0.02
Tb 0.414 0.082 0.247  0.02
Ce 0.000 0.000 0.000  0.77
Pm 0.167 0.833 0.500  -0.01
Pm 0.833 0.167 0.500  -0.01
Pm 0.500 0.500 0.500  -0.01
Er 0.333 0.667 0.000  0.05
Er 0.667 0.333 0.000  0.05


# 5
First-principles (PBE) data for a geometry-optimized PmNd2Sm2Ho structure, as listed in Alexandria via LeMat-Bulk.

Computed properties:
As for the formation energy: 0.06 eV/atom.

a = 5.745 Å, b = 7.068 Å, c = 9.954 Å
α = 90.00°, β = 90.00°, γ = 90.00°
Sites, in units of the cell vectors:
Pm 0.000 0.008 0.500
Pm 0.000 0.508 0.500
Nd 0.500 0.008 0.000
Nd 0.000 0.258 0.171
Nd 0.500 0.508 0.000
Nd 0.000 0.758 0.829
Sm 0.000 0.257 0.836
Sm 0.500 0.258 0.331
Sm 0.000 0.757 0.164
Sm 0.500 0.758 0.669
Ho 0.500 0.258 0.663
Ho 0.500 0.758 0.337


# 6
First-principles (PBE) data for a geometry-optimized Na2Pa2SiN6 structure, as listed in Alexandria via LeMat-Bulk.

Computed properties:
The value obtained for the uncorrected formation energy is -611 meV per atom.

a = 5.899 Å, b = 5.899 Å, c = 5.983 Å
α = 95.26°, β = 95.26°, γ = 123.83°
Sites, in units of the cell vectors:
Na 0.858 0.142 0.000
Na 0.142 0.858 0.000
Pa 0.340 0.660 0.500
Pa 0.660 0.340 0.500
Si 0.000 0.000 0.500
N 0.783 0.783 0.679
N 0.049 0.369 0.674
N 0.217 0.217 0.321
N 0.369 0.049 0.674
N 0.951 0.631 0.326
N 0.631 0.951 0.326


# 7
First-principles (PBE) data for a geometry-optimized MnAsAu2 structure, as listed in Alexandria via LeMat-Bulk.

Computed properties:
As for the formation energy: 0.11 eV/atom.

a = 9.068 Å, b = 9.068 Å, c = 9.068 Å
α = 19.12°, β = 19.12°, γ = 19.12°
Last column: magnetic moment on the atom in μB.
Sites, in units of the cell vectors:
As 0.761 0.761 0.761  -0.09
Au 0.998 0.998 0.998  0.01
Au 0.242 0.242 0.242  0.06
Mn 0.498 0.498 0.498  3.28


# 8
First-principles (PBE) data for a geometry-optimized NbCd structure, as listed in Alexandria via LeMat-Bulk.

Computed properties:
As for the formation energy: 0.37 eV/atom.

a = 13.092 Å, b = 2.843 Å, c = 7.342 Å
α = 90.00°, β = 90.00°, γ = 90.00°
Sites, in units of the cell vectors:
Nb 0.898 0.442 0.596
Nb 0.602 0.558 0.096
Nb 0.102 0.442 0.596
Nb 0.398 0.558 0.096
Nb 0.000 0.739 0.309
Nb 0.500 0.261 0.809
Cd 0.777 0.043 0.286
Cd 0.723 0.957 0.786
Cd 0.223 0.043 0.286
Cd 0.277 0.957 0.786
Cd 0.000 0.034 0.931
Cd 0.500 0.966 0.431


# 9
First-principles (PBE) data for a geometry-optimized Pm2Zn2SnPd5 structure, as listed in Alexandria via LeMat-Bulk.

Computed properties:
As for the formation energy: -0.69 eV/atom.

a = 3.825 Å, b = 9.901 Å, c = 9.901 Å
α = 90.00°, β = 90.00°, γ = 90.00°
Sites, in units of the cell vectors:
Pm 0.000 0.678 0.178
Pm 0.000 0.322 0.822
Pm 0.000 0.178 0.322
Pm 0.000 0.822 0.678
Zn 0.000 0.119 0.619
Zn 0.000 0.881 0.381
Zn 0.000 0.619 0.881
Zn 0.000 0.381 0.119
Sn 0.000 0.000 0.000
Sn 0.000 0.500 0.500
Pd 0.500 0.210 0.066
Pd 0.500 0.790 0.934
Pd 0.500 0.066 0.790
Pd 0.500 0.710 0.434
Pd 0.500 0.934 0.210
Pd 0.500 0.290 0.566
Pd 0.500 0.566 0.710
Pd 0.500 0.434 0.290
Pd 0.500 0.500 0.000
Pd 0.500 0.000 0.500


# 10
First-principles (PBE) data for a geometry-optimized NdThRuI structure, as listed in Alexandria via LeMat-Bulk.

Computed properties:
The value obtained for the uncorrected formation energy is -730 meV per atom.

a = 4.142 Å, b = 4.142 Å, c = 8.622 Å
α = 89.99°, β = 103.89°, γ = 120.00°
Sites, in units of the cell vectors:
Nd 0.510 0.153 0.678
Th 0.086 0.941 0.042
Ru 0.312 0.554 0.882
I 0.970 0.383 0.368


# 11
First-principles (PBE) data for a geometry-optimized NdHo5Er structure, as listed in Alexandria via LeMat-Bulk.

Computed properties:
The energy above the most stable polymorph in this dataset is 0 meV per atom. As for the formation energy: 0.06 eV/atom.

a = 3.588 Å, b = 9.254 Å, c = 13.835 Å
α = 103.51°, β = 90.00°, γ = 90.00°
Sites, in units of the cell vectors:
Nd 0.750 0.104 0.124
Nd 0.250 0.896 0.876
Ho 0.250 0.002 0.376
Ho 0.750 0.205 0.881
Ho 0.750 0.327 0.509
Ho 0.250 0.416 0.079
Ho 0.250 0.349 0.723
Ho 0.750 0.651 0.277
Ho 0.750 0.584 0.921
Ho 0.250 0.673 0.491
Ho 0.250 0.795 0.119
Ho 0.750 0.998 0.624
Er 0.250 0.345 0.306
Er 0.750 0.655 0.694


# 12
First-principles (PBE) data for a geometry-optimized Tb3Er3ScS8 structure, as listed in Alexandria via LeMat-Bulk.

Computed properties:
The value obtained for the uncorrected formation energy is -2033 meV per atom.

a = 7.733 Å, b = 7.733 Å, c = 7.756 Å
α = 119.90°, β = 90.00°, γ = 120.00°
Sites, in units of the cell vectors:
Tb 0.000 0.000 0.000
Tb 0.000 0.500 0.000
Tb 0.500 0.500 0.000
Er 0.500 0.000 0.500
Er 0.500 0.500 0.500
Er 0.000 0.500 0.500
Sc 0.000 0.000 0.500
S 0.252 0.504 0.256
S 0.748 0.496 0.744
S 0.756 0.513 0.260
S 0.244 0.487 0.740
S 0.756 0.004 0.260
S 0.244 0.996 0.740
S 0.247 0.004 0.260
S 0.753 0.996 0.740


# 13
First-principles (PBE) data for a geometry-optimized Pm6Ir3Cl2 structure, as listed in Alexandria via LeMat-Bulk.

Computed properties:
The value obtained for the uncorrected formation energy is -984 meV per atom.

a = 7.185 Å, b = 7.190 Å, c = 7.557 Å
α = 80.86°, β = 71.46°, γ = 60.02°
Sites, in units of the cell vectors:
Pm 0.404 0.669 0.789
Pm 0.733 0.000 0.794
Pm 0.073 0.331 0.789
Pm 0.267 0.000 0.206
Pm 0.596 0.331 0.211
Pm 0.927 0.669 0.211
Ir 0.000 0.000 0.000
Ir 0.330 0.339 0.000
Ir 0.670 0.661 0.000
Cl 0.166 0.668 0.500
Cl 0.834 0.332 0.500


# 14
First-principles (PBE) data for a geometry-optimized Ti4CdPt5 structure, as listed in Alexandria via LeMat-Bulk.

Computed properties:
As for the formation energy: -0.82 eV/atom.

a = 2.862 Å, b = 2.862 Å, c = 19.520 Å
α = 90.00°, β = 90.00°, γ = 90.00°
Last column: magnetic moment on the atom in μB.
Sites, in units of the cell vectors:
Ti 0.000 0.000 0.204  0.42
Ti 0.000 0.000 0.402  0.33
Ti 0.000 0.000 0.598  0.33
Ti 0.000 0.000 0.796  0.42
Cd 0.000 0.000 0.000  0.00
Pt 0.500 0.500 0.111  0.01
Pt 0.500 0.500 0.303  -0.01
Pt 0.500 0.500 0.500  0.00
Pt 0.500 0.500 0.697  -0.01
Pt 0.500 0.500 0.889  0.01


# 15
First-principles (PBE) data for a geometry-optimized Na7PbO2 structure, as listed in Alexandria via LeMat-Bulk.

Computed properties:
The value obtained for the uncorrected formation energy is -724 meV per atom.

a = 4.544 Å, b = 7.480 Å, c = 7.480 Å
α = 119.93°, β = 90.00°, γ = 90.00°
Sites, in units of the cell vectors:
Na 0.000 0.695 0.305
Na 0.000 0.305 0.695
Na 0.500 0.040 0.343
Na 0.500 0.960 0.657
Na 0.500 0.343 0.040
Na 0.500 0.657 0.960
Na 0.500 0.500 0.500
Pb 0.000 0.000 0.000
O 0.500 0.689 0.311
O 0.500 0.311 0.689


# 16
First-principles (PBE) data for a geometry-optimized InBi3Ru structure, as listed in Alexandria via LeMat-Bulk.

Computed properties:
The energy above the most stable polymorph in this dataset is 0 meV per atom. As for the formation energy: 0.41 eV/atom.

a = 5.347 Å, b = 5.347 Å, c = 5.347 Å
α = 90.00°, β = 90.00°, γ = 90.00°
Sites, in units of the cell vectors:
Ru 0.000 0.000 0.000
Bi 0.000 0.500 0.000
Bi 0.000 0.000 0.500
Bi 0.500 0.000 0.000
In 0.500 0.500 0.500


# 17
First-principles (PBE) data for a geometry-optimized CaNi4 structure, as listed in Alexandria via LeMat-Bulk.

Computed properties:
As for the formation energy: 1.73 eV/atom.

a = 4.435 Å, b = 4.435 Å, c = 4.435 Å
α = 90.00°, β = 90.00°, γ = 90.00°
Last column: magnetic moment on the atom in μB.
Sites, in units of the cell vectors:
Ni 0.000 0.000 0.000  0.69
Ni 0.500 0.000 0.500  0.15
Ni 0.000 0.500 0.500  0.15
Ni 0.500 0.500 0.000  0.15
Ca 0.500 0.500 0.500  -0.02


# 18
First-principles (PBE) data for a geometry-optimized SmScZn structure, as listed in Alexandria via LeMat-Bulk.

Computed properties:
The energy above the most stable polymorph in this dataset is 256 meV per atom. As for the formation energy: 0.05 eV/atom.

a = 4.851 Å, b = 4.851 Å, c = 4.852 Å
α = 89.84°, β = 120.10°, γ = 120.08°
Sites, in units of the cell vectors:
Sm 0.944 0.472 0.417
Sc 0.944 0.972 0.917
Zn 0.444 0.222 0.667


# 19
First-principles (PBE) data for a geometry-optimized Tb3Sb4 structure, as listed in Alexandria via LeMat-Bulk.

Computed properties:
The value obtained for the uncorrected formation energy is -790 meV per atom.

a = 4.516 Å, b = 4.516 Å, c = 12.276 Å
α = 79.40°, β = 79.40°, γ = 60.00°
Sites, in units of the cell vectors:
Tb 0.761 0.761 0.716
Tb 0.239 0.239 0.284
Tb 0.000 0.000 0.000
Sb 0.382 0.382 0.855
Sb 0.147 0.147 0.559
Sb 0.853 0.853 0.441
Sb 0.618 0.618 0.145


# 20
First-principles (PBE) data for a geometry-optimized Sr2AsCl structure, as listed in Alexandria via LeMat-Bulk.

Computed properties:
The value obtained for the uncorrected formation energy is -1534 meV per atom.

a = 5.391 Å, b = 5.391 Å, c = 5.391 Å
α = 60.00°, β = 60.00°, γ = 60.00°
Sites, in units of the cell vectors:
Sr 0.250 0.250 0.250
Sr 0.750 0.750 0.750
As 0.500 0.500 0.500
Cl 0.000 0.000 0.000


# 21
First-principles (PBE) data for a geometry-optimized KAs structure, as listed in Alexandria via LeMat-Bulk.

Computed properties:
The energy above the most stable polymorph in this dataset is 163 meV per atom. As for the formation energy: -0.30 eV/atom.

a = 12.015 Å, b = 12.015 Å, c = 4.059 Å
α = 90.00°, β = 90.00°, γ = 120.00°
Sites, in units of the cell vectors:
K 0.795 0.590 0.250
K 0.205 0.795 0.750
K 0.410 0.205 0.250
K 0.205 0.410 0.750
K 0.795 0.205 0.250
K 0.590 0.795 0.750
As 0.464 0.928 0.250
As 0.536 0.464 0.750
As 0.072 0.536 0.250
As 0.536 0.072 0.750
As 0.464 0.536 0.250
As 0.928 0.464 0.750


# 22
First-principles (PBE) data for a geometry-optimized TiBeS2Cl structure, as listed in Alexandria via LeMat-Bulk.

Computed properties:
The energy above the most stable polymorph in this dataset is 1294 meV per atom. The value obtained for the uncorrected formation energy is 1116 meV per atom.

a = 4.917 Å, b = 4.349 Å, c = 4.917 Å
α = 90.00°, β = 90.00°, γ = 90.00°
Sites, in units of the cell vectors:
Be 0.500 0.500 0.500
S 0.000 0.000 0.500
S 0.500 0.000 0.000
Cl 0.000 0.000 0.000
Ti 0.000 0.500 0.000


# 23
First-principles (PBE) data for a geometry-optimized SmLu3S structure, as listed in Alexandria via LeMat-Bulk.

Computed properties:
The value obtained for the uncorrected formation energy is -590 meV per atom.

a = 5.213 Å, b = 5.213 Å, c = 5.213 Å
α = 90.00°, β = 90.00°, γ = 90.00°
Last column: magnetic moment on the atom in μB.
Sites, in units of the cell vectors:
S 0.000 0.000 0.000  0.00
Lu 0.000 0.500 0.000  0.22
Lu 0.000 0.000 0.500  0.22
Lu 0.500 0.000 0.000  0.22
Sm 0.500 0.500 0.500  0.17


no.,magnetic moment (μB per cell)
1,7.3
2,0.0
3,0.0
4,1.2
5,0.0
6,0.0
7,3.3
8,0.0
9,0.0
10,0.0
11,0.0
12,0.0
13,0.0
14,1.8
15,0.0
16,0.0
17,1.0
18,0.0
19,0.0
20,0.0
21,0.0
22,0.0
23,1.5